# Be3Zn | Alexandria | PBE | relaxed
data_Be3Zn
_cell_length_a 2.4421
_cell_length_b 2.4421
_cell_length_c 23.0674
_cell_angle_alpha 90.00
_cell_angle_beta 90.00
_cell_angle_gamma 120.00
_space_group_name_H-M_alt 'R -3 m'
_space_group_IT_number 166
_space_group_name_Hall '-R 3 2"'
loop_
_atom_site_label
_atom_site_fract_x
_atom_site_fract_y
_atom_site_fract_z
Be1 0.0000 0.0000 0.0000
Be2 0.0000 0.0000 0.2588
Zn1 0.0000 0.0000 0.5000
# - formation enthalpy at 0 K (kJ/mol of formula units) = 92

---

# Dy2MgSb | Alexandria | PBE | relaxed
data_Dy2MgSb
_cell_length_a 4.1237
_cell_length_b 4.1237
_cell_length_c 25.2640
_cell_angle_alpha 90.00
_cell_angle_beta 90.00
_cell_angle_gamma 120.00
_space_group_name_H-M_alt 'R -3 m'
_space_group_IT_number 166
_space_group_name_Hall '-R 3 2"'
loop_
_atom_site_label
_atom_site_fract_x
_atom_site_fract_y
_atom_site_fract_z
Dy1 0.0000 0.0000 0.2398
Mg1 0.0000 0.0000 0.0000
Sb1 0.0000 0.0000 0.5000
# - distance to the lowest polymorph of the same formula (meV/atom) = 156

---

# CeGaOs | Alexandria | PBE | relaxed
data_CeGaOs
_cell_length_a 3.1930
_cell_length_b 3.1930
_cell_length_c 11.2428
_cell_angle_alpha 90.00
_cell_angle_beta 90.00
_cell_angle_gamma 90.00
_space_group_name_H-M_alt 'I 4 m m'
_space_group_IT_number 107
_space_group_name_Hall 'I 4 -2'
loop_
_atom_site_label
_atom_site_fract_x
_atom_site_fract_y
_atom_site_fract_z
Ce1 0.0000 0.0000 0.0000
Ga1 0.0000 0.0000 0.2880
Os1 0.0000 0.0000 0.6704
# - formation enthalpy at 0 K (kJ/mol of formula units) = -70

---

# MgAu2Cl | Alexandria | PBE | relaxed
data_MgAu2Cl
_cell_length_a 3.7714
_cell_length_b 3.9056
_cell_length_c 5.5350
_cell_angle_alpha 90.00
_cell_angle_beta 90.00
_cell_angle_gamma 90.00
_space_group_name_H-M_alt 'P m m m'
_space_group_IT_number 47
_space_group_name_Hall '-P 2 2'
loop_
_atom_site_label
_atom_site_fract_x
_atom_site_fract_y
_atom_site_fract_z
Mg1 0.0000 0.0000 0.0000
Au1 0.0000 0.5000 0.5000
Au2 0.5000 0.0000 0.5000
Cl1 0.5000 0.5000 0.0000
# - distance to the lowest polymorph of the same formula (meV/atom) = 243

---

# HfZnTeN2 | Alexandria | PBE | relaxed
data_HfZnTeN2
_cell_length_a 4.0226
_cell_length_b 4.0226
_cell_length_c 5.2369
_cell_angle_alpha 90.00
_cell_angle_beta 90.00
_cell_angle_gamma 90.00
_space_group_name_H-M_alt 'P 4/m m m'
_space_group_IT_number 123
_space_group_name_Hall '-P 4 2'
loop_
_atom_site_label
_atom_site_fract_x
_atom_site_fract_y
_atom_site_fract_z
Hf1 0.0000 0.0000 0.0000
Zn1 0.5000 0.5000 0.5000
Te1 0.5000 0.5000 0.0000
N1 0.0000 0.5000 0.5000
# - distance to the lowest polymorph of the same formula (meV/atom) = 972

---

# Zn2Cd2Pd | Alexandria | PBE | relaxed
data_Zn2Cd2Pd
_cell_length_a 7.6541
_cell_length_b 7.6541
_cell_length_c 3.0771
_cell_angle_alpha 90.00
_cell_angle_beta 90.00
_cell_angle_gamma 90.00
_space_group_name_H-M_alt 'P 4/m b m'
_space_group_IT_number 127
_space_group_name_Hall '-P 4 2ab'
loop_
_atom_site_label
_atom_site_fract_x
_atom_site_fract_y
_atom_site_fract_z
Zn1 0.1638 0.3362 0.0000
Cd1 0.1393 0.6393 0.5000
Pd1 0.0000 0.0000 0.5000
# - distance to the lowest polymorph of the same formula (meV/atom) = 142
# - formation enthalpy at 0 K (kJ/mol of formula units) = 42

---

# MnTc2Rh | Alexandria | PBE | relaxed
data_MnTc2Rh
_cell_length_a 2.6907
_cell_length_b 3.7406
_cell_length_c 5.4248
_cell_angle_alpha 90.00
_cell_angle_beta 90.00
_cell_angle_gamma 90.00
_space_group_name_H-M_alt 'P m m m'
_space_group_IT_number 47
_space_group_name_Hall '-P 2 2'
loop_
_atom_site_label
_atom_site_fract_x
_atom_site_fract_y
_atom_site_fract_z
Mn1 0.0000 0.0000 0.0000
Tc1 0.5000 0.5000 0.2283
Rh1 0.0000 0.0000 0.5000
# - distance to the lowest polymorph of the same formula (meV/atom) = 23
# - formation enthalpy at 0 K (kJ/mol of formula units) = -1

---

# DyZnCl | Alexandria | PBE | relaxed
data_DyZnCl
_cell_length_a 3.5902
_cell_length_b 3.6131
_cell_length_c 13.0754
_cell_angle_alpha 89.90
_cell_angle_beta 89.99
_cell_angle_gamma 89.58
_space_group_name_H-M_alt 'P -1'
_space_group_IT_number 2
_space_group_name_Hall '-P 1'
loop_
_atom_site_label
_atom_site_fract_x
_atom_site_fract_y
_atom_site_fract_z
Dy1 0.2500 0.2495 0.0975
Zn1 0.2500 0.2500 0.4997
Cl1 0.2500 0.2511 0.7987
# - raw total energy (eV per atom) = -3.303

---

# NaZrPPd2 | Alexandria | PBE | relaxed
data_NaZrPPd2
_cell_length_a 4.6293
_cell_length_b 4.6293
_cell_length_c 4.8552
_cell_angle_alpha 90.00
_cell_angle_beta 90.00
_cell_angle_gamma 90.00
_space_group_name_H-M_alt 'P 4/m m m'
_space_group_IT_number 123
_space_group_name_Hall '-P 4 2'
loop_
_atom_site_label
_atom_site_fract_x
_atom_site_fract_y
_atom_site_fract_z
Na1 0.0000 0.0000 0.0000
Zr1 0.5000 0.5000 0.0000
P1 0.5000 0.5000 0.5000
Pd1 0.0000 0.5000 0.5000
# - formation enthalpy at 0 K (kJ/mol of formula units) = -100

---

# AcTbPrY3 | Alexandria | PBE | relaxed
data_AcTbPrY3
_cell_length_a 8.2139
_cell_length_b 5.2006
_cell_length_c 10.3301
_cell_angle_alpha 90.00
_cell_angle_beta 108.55
_cell_angle_gamma 90.00
_space_group_name_H-M_alt 'P 1 21/m 1'
_space_group_IT_number 11
_space_group_name_Hall '-P 2yb'
loop_
_atom_site_label
_atom_site_fract_x
_atom_site_fract_y
_atom_site_fract_z
Ac1 0.1654 0.2500 0.2934
Tb1 0.4989 0.2500 0.6255
Pr1 0.4974 0.7500 0.8747
Y1 0.1683 0.7500 0.0403
Y2 0.1711 0.7500 0.5449
Y3 0.1716 0.2500 0.7914
# - formation enthalpy at 0 K (kJ/mol of formula units) = 25

---

# Pm3RuO | Alexandria | PBE | relaxed
data_Pm3RuO
_cell_length_a 4.8068
_cell_length_b 4.8068
_cell_length_c 4.8068
_cell_angle_alpha 90.00
_cell_angle_beta 90.00
_cell_angle_gamma 90.00
_space_group_name_H-M_alt 'P m -3 m'
_space_group_IT_number 221
_space_group_name_Hall '-P 4 2 3'
loop_
_atom_site_label
_atom_site_fract_x
_atom_site_fract_y
_atom_site_fract_z
Pm1 0.0000 0.0000 0.5000
Ru1 0.5000 0.5000 0.5000
O1 0.0000 0.0000 0.0000
# - distance to the lowest polymorph of the same formula (meV/atom) = 96

---

# Ba2HoScSe5 | Alexandria | PBE | relaxed
data_Ba2HoScSe5
_cell_length_a 4.3738
_cell_length_b 17.8140
_cell_length_c 13.8943
_cell_angle_alpha 90.00
_cell_angle_beta 90.00
_cell_angle_gamma 90.00
_space_group_name_H-M_alt 'C m c 21'
_space_group_IT_number 36
_space_group_name_Hall 'C 2c -2'
loop_
_atom_site_label
_atom_site_fract_x
_atom_site_fract_y
_atom_site_fract_z
Ba1 0.0000 0.1065 0.0000
Ba2 0.0000 0.1433 0.6208
Ho1 0.0000 0.2119 0.3316
Sc1 0.0000 0.4718 0.7655
Se1 0.0000 0.0518 0.3637
Se2 0.0000 0.2836 0.9665
Se3 0.0000 0.3224 0.6982
Se4 0.0000 0.3720 0.3120
Se5 0.0000 0.4898 0.0888
# - raw total energy (eV per atom) = -5.484

---

# B2C | Alexandria | PBE | relaxed
data_B2C
_cell_length_a 17.0225
_cell_length_b 2.6707
_cell_length_c 4.9024
_cell_angle_alpha 90.00
_cell_angle_beta 106.50
_cell_angle_gamma 90.00
_space_group_name_H-M_alt 'C 1 m 1'
_space_group_IT_number 8
_space_group_name_Hall 'C -2y'
loop_
_atom_site_label
_atom_site_fract_x
_atom_site_fract_y
_atom_site_fract_z
B1 0.0000 0.0000 0.0000
B2 0.0011 0.5000 0.5379
B3 0.0101 0.0000 0.3410
B4 0.2354 0.5000 0.7876
B5 0.2380 0.0000 0.2826
B6 0.3408 0.5000 0.6146
B7 0.3452 0.0000 0.0370
B8 0.4104 0.5000 0.2267
C1 0.2452 0.0000 0.9681
C2 0.2454 0.5000 0.4691
C3 0.3866 0.0000 0.7454
C4 0.4813 0.0000 0.8235
# - distance to the lowest polymorph of the same formula (meV/atom) = 184
# - formation enthalpy at 0 K (kJ/mol of formula units) = 107

---

# SrLa2TcHg | Alexandria | PBE | relaxed
data_SrLa2TcHg
_cell_length_a 5.3599
_cell_length_b 5.3599
_cell_length_c 5.7309
_cell_angle_alpha 90.00
_cell_angle_beta 90.00
_cell_angle_gamma 90.00
_space_group_name_H-M_alt 'P 4/m m m'
_space_group_IT_number 123
_space_group_name_Hall '-P 4 2'
loop_
_atom_site_label
_atom_site_fract_x
_atom_site_fract_y
_atom_site_fract_z
Sr1 0.0000 0.0000 0.0000
La1 0.0000 0.5000 0.5000
Tc1 0.5000 0.5000 0.5000
Hg1 0.5000 0.5000 0.0000
# - formation enthalpy at 0 K (kJ/mol of formula units) = -7

---

# Tl4H4I3 | Alexandria | PBE | relaxed
data_Tl4H4I3
_cell_length_a 17.7533
_cell_length_b 5.8735
_cell_length_c 7.0223
_cell_angle_alpha 90.00
_cell_angle_beta 113.29
_cell_angle_gamma 90.00
_space_group_name_H-M_alt 'C 1 2/m 1'
_space_group_IT_number 12
_space_group_name_Hall '-C 2y'
loop_
_atom_site_label
_atom_site_fract_x
_atom_site_fract_y
_atom_site_fract_z
Tl1 0.9997 0.0000 0.2239
Tl2 0.2193 0.5000 0.2195
H1 0.1017 0.0000 0.3889
H2 0.1026 0.0000 0.8171
I1 0.0000 0.5000 0.0000
I2 0.1784 0.5000 0.6785
# - raw total energy (eV per atom) = -2.468

---

# KCd2Pb | Alexandria | PBE | relaxed
data_KCd2Pb
_cell_length_a 3.4964
_cell_length_b 5.0306
_cell_length_c 7.0457
_cell_angle_alpha 90.00
_cell_angle_beta 101.15
_cell_angle_gamma 90.00
_space_group_name_H-M_alt 'P 1 m 1'
_space_group_IT_number 6
_space_group_name_Hall 'P -2y'
loop_
_atom_site_label
_atom_site_fract_x
_atom_site_fract_y
_atom_site_fract_z
K1 0.0000 0.0000 0.0000
Cd1 0.3753 0.5000 0.7269
Cd2 0.4690 0.0000 0.5177
Pb1 0.6363 0.5000 0.2886
# - distance to the lowest polymorph of the same formula (meV/atom) = 82
# - formation enthalpy at 0 K (kJ/mol of formula units) = -8

---

# AcGa12Rh6 | Alexandria | PBE | relaxed
data_AcGa12Rh6
_cell_length_a 11.3991
_cell_length_b 11.3991
_cell_length_c 8.7583
_cell_angle_alpha 90.00
_cell_angle_beta 90.00
_cell_angle_gamma 120.00
_space_group_name_H-M_alt 'R -3 m'
_space_group_IT_number 166
_space_group_name_Hall '-R 3 2"'
loop_
_atom_site_label
_atom_site_fract_x
_atom_site_fract_y
_atom_site_fract_z
Ac1 0.0000 0.0000 0.0000
Ga1 0.0000 0.3849 0.5000
Ga2 0.0925 0.1849 0.3204
Rh1 0.0525 0.5263 0.2529
# - formation enthalpy at 0 K (kJ/mol of formula units) = -1054

---

# Al2SiBr | Alexandria | PBE | relaxed
data_Al2SiBr
_cell_length_a 7.4986
_cell_length_b 7.4388
_cell_length_c 3.1619
_cell_angle_alpha 90.00
_cell_angle_beta 110.70
_cell_angle_gamma 90.00
_space_group_name_H-M_alt 'C 1 2/m 1'
_space_group_IT_number 12
_space_group_name_Hall '-C 2y'
loop_
_atom_site_label
_atom_site_fract_x
_atom_site_fract_y
_atom_site_fract_z
Al1 0.2500 0.2500 0.0000
Si1 0.0000 0.0000 0.0000
Br1 0.0000 0.5000 0.0000
# - distance to the lowest polymorph of the same formula (meV/atom) = 232

---

# Pr6Y2HoEr3 | Alexandria | PBE | relaxed
data_Pr6Y2HoEr3
_cell_length_a 6.3018
_cell_length_b 10.9131
_cell_length_c 11.8604
_cell_angle_alpha 90.00
_cell_angle_beta 100.18
_cell_angle_gamma 90.00
_space_group_name_H-M_alt 'C 1 2/m 1'
_space_group_IT_number 12
_space_group_name_Hall '-C 2y'
loop_
_atom_site_label
_atom_site_fract_x
_atom_site_fract_y
_atom_site_fract_z
Pr1 0.2486 0.0000 0.2486
Pr2 0.2502 0.1662 0.7516
Y1 0.0000 0.3333 0.5000
Ho1 0.0000 0.0000 0.5000
Er1 0.0000 0.1665 0.0000
Er2 0.0000 0.5000 0.0000
# - formation enthalpy at 0 K (kJ/mol of formula units) = 13

---

# ThAlC | Alexandria | PBE | relaxed
data_ThAlC
_cell_length_a 3.8069
_cell_length_b 3.8069
_cell_length_c 17.7455
_cell_angle_alpha 90.00
_cell_angle_beta 90.00
_cell_angle_gamma 90.00
_space_group_name_H-M_alt 'I 4/m m m'
_space_group_IT_number 139
_space_group_name_Hall '-I 4 2'
loop_
_atom_site_label
_atom_site_fract_x
_atom_site_fract_y
_atom_site_fract_z
Th1 0.0000 0.0000 0.1780
Al1 0.0000 0.0000 0.4284
C1 0.0000 0.0000 0.3155
# - distance to the lowest polymorph of the same formula (meV/atom) = 225
# - formation enthalpy at 0 K (kJ/mol of formula units) = -21

---

# GaSn3 | Alexandria | PBE | relaxed
data_GaSn3
_cell_length_a 4.8184
_cell_length_b 4.8184
_cell_length_c 8.9352
_cell_angle_alpha 90.00
_cell_angle_beta 90.00
_cell_angle_gamma 90.00
_space_group_name_H-M_alt 'I 4/m m m'
_space_group_IT_number 139
_space_group_name_Hall '-I 4 2'
loop_
_atom_site_label
_atom_site_fract_x
_atom_site_fract_y
_atom_site_fract_z
Ga1 0.0000 0.0000 0.0000
Sn1 0.0000 0.0000 0.5000
Sn2 0.0000 0.5000 0.2500
# - formation enthalpy at 0 K (kJ/mol of formula units) = 22

---

# DyCd11Ga | Alexandria | PBE | relaxed
data_DyCd11Ga
_cell_length_a 5.8932
_cell_length_b 14.1131
_cell_length_c 7.5838
_cell_angle_alpha 90.00
_cell_angle_beta 112.36
_cell_angle_gamma 90.00
_space_group_name_H-M_alt 'C 1 2/m 1'
_space_group_IT_number 12
_space_group_name_Hall '-C 2y'
loop_
_atom_site_label
_atom_site_fract_x
_atom_site_fract_y
_atom_site_fract_z
Dy1 0.0000 0.0000 0.0000
Cd1 0.0000 0.0000 0.5000
Cd2 0.1047 0.3953 0.2125
Cd3 0.1798 0.1744 0.3529
Cd4 0.2500 0.2500 0.0000
Ga1 0.0000 0.5000 0.5000
# - formation enthalpy at 0 K (kJ/mol of formula units) = -69

---

# LaSbPtI2 | Alexandria | PBE | relaxed
data_LaSbPtI2
_cell_length_a 5.3889
_cell_length_b 5.3889
_cell_length_c 5.4977
_cell_angle_alpha 90.00
_cell_angle_beta 90.00
_cell_angle_gamma 90.00
_space_group_name_H-M_alt 'P 4/m m m'
_space_group_IT_number 123
_space_group_name_Hall '-P 4 2'
loop_
_atom_site_label
_atom_site_fract_x
_atom_site_fract_y
_atom_site_fract_z
La1 0.0000 0.0000 0.0000
Sb1 0.5000 0.5000 0.0000
Pt1 0.5000 0.5000 0.5000
I1 0.0000 0.5000 0.5000
# - distance to the lowest polymorph of the same formula (meV/atom) = 0

---

# AcNdZnNi | Alexandria | PBE | relaxed
data_AcNdZnNi
_cell_length_a 7.4083
_cell_length_b 7.4083
_cell_length_c 7.4083
_cell_angle_alpha 90.00
_cell_angle_beta 90.00
_cell_angle_gamma 90.00
_space_group_name_H-M_alt 'F -4 3 m'
_space_group_IT_number 216
_space_group_name_Hall 'F -4 2 3'
loop_
_atom_site_label
_atom_site_fract_x
_atom_site_fract_y
_atom_site_fract_z
Ac1 0.0000 0.0000 0.0000
Nd1 0.0000 0.0000 0.5000
Zn1 0.2500 0.2500 0.7500
Ni1 0.2500 0.2500 0.2500
# - formation enthalpy at 0 K (kJ/mol of formula units) = -67

---

# Ho4Te3S2 | Alexandria | PBE | relaxed
data_Ho4Te3S2
_cell_length_a 13.9449
_cell_length_b 3.9457
_cell_length_c 9.0382
_cell_angle_alpha 90.00
_cell_angle_beta 100.35
_cell_angle_gamma 90.00
_space_group_name_H-M_alt 'C 1 2/m 1'
_space_group_IT_number 12
_space_group_name_Hall '-C 2y'
loop_
_atom_site_label
_atom_site_fract_x
_atom_site_fract_y
_atom_site_fract_z
Ho1 0.0751 0.0000 0.1800
Ho2 0.1670 0.5000 0.6069
Te1 0.0000 0.0000 0.5000
Te2 0.1042 0.5000 0.9124
S1 0.2011 0.5000 0.3156
# - raw total energy (eV per atom) = -5.595

---

Record-wise total moment values, in μB per formula unit: 0.0, 0.0, 0.0, 0.0, 1.4, 0.0, 0.6, 0.0, 0.0, 0.0, 0.0, 0.0, 0.0, 0.0, 0.0, 0.0, 0.0, 0.0, 0.0, 0.0, 0.0, 0.0, 0.0, 0.0, 0.0
Record-wise ρ values, in g cm⁻³: 3.87, 6.31, 11.59, 9.24, 7.83, 8.51, 10.76, 5.16, 5.71, 6.30, 8.25, 5.40, 2.09, 6.70, 5.94, 6.43, 8.50, 3.26, 6.99, 7.00, 6.82, 8.36, 7.38, 8.09, 7.51